# PBE-GGA Ru3C4, relaxed
data_Ru3C4
_chemical_formula_sum 'Ru3 C4'
_cell_length_a 5.745
_cell_length_b 5.745
_cell_length_c 2.652
_cell_angle_alpha 90.00
_cell_angle_beta 90.00
_cell_angle_gamma 120.00
_symmetry_space_group_name_H-M 'P 1'
_symmetry_Int_Tables_number 1
_symmetry_space_group_name_Hall 'P 1'
loop_
_atom_site_label
_atom_site_type_symbol
_atom_site_fract_x
_atom_site_fract_y
_atom_site_fract_z
Ru1 Ru 0.000 0.500 0.000
Ru2 Ru 0.500 0.000 0.000
Ru3 Ru 0.500 0.500 0.000
C1 C 0.000 0.000 0.253
C2 C 0.000 0.000 0.747
C3 C 0.333 0.667 0.500
C4 C 0.667 0.333 0.500
# Offset from the most stable computed form ... 0 meV/atom
# Total energy ... -8.203 eV/atom
# Formation enthalpy at 0 K ... 101 kJ/mol of atoms
# DOS(E_F) ... 1.196 states/eV/atom